(1)
Ti2CrSi2: relaxed, PBE-GGA.

Cell lengths 7.627, 7.627, 6.452 Å; angles 90.00, 90.00, 155.13 degrees
Fractional positions:
Ti (0.029, 0.971, 0.500)
Ti (0.192, 0.808, 0.896)
Ti (0.808, 0.192, 0.396)
Ti (0.971, 0.029, 0.000)
Cr (0.407, 0.593, 0.673)
Cr (0.593, 0.407, 0.173)
Si (0.185, 0.815, 0.313)
Si (0.432, 0.568, 0.294)
Si (0.568, 0.432, 0.794)
Si (0.815, 0.185, 0.813)

Calculated values
- DOS at the Fermi energy: 0.71 states/eV/atom

=====

(2)
TiCr2Si6: relaxed, PBE-GGA.

Cell lengths 4.542, 4.542, 6.344 Å; angles 90.00, 90.00, 119.48 degrees
Fractional positions:
Ti (0.000, 0.000, 0.000)
Cr (0.000, 0.500, 0.667)
Cr (0.500, 0.000, 0.333)
Si (0.171, 0.341, 0.337)
Si (0.339, 0.661, 0.000)
Si (0.341, 0.171, 0.663)
Si (0.659, 0.829, 0.663)
Si (0.661, 0.339, 0.000)
Si (0.829, 0.659, 0.337)

Calculated values
- DOS at the Fermi energy: 0.62 states/eV/atom

=====

(3)
Ti5CrSi5: relaxed, PBE-GGA.

Cell lengths 6.334, 6.334, 6.289 Å; angles 106.42, 106.42, 45.55 degrees
Fractional positions:
Ti (0.000, 0.000, 0.000)
Ti (0.319, 0.319, 0.181)
Ti (0.392, 0.392, 0.784)
Ti (0.608, 0.608, 0.216)
Ti (0.681, 0.681, 0.819)
Cr (0.000, 0.000, 0.500)
Si (0.170, 0.170, 0.809)
Si (0.181, 0.181, 0.413)
Si (0.500, 0.500, 0.500)
Si (0.819, 0.819, 0.587)
Si (0.830, 0.830, 0.191)

Calculated values
- DOS at the Fermi energy: 0.75 states/eV/atom

=====

(4)
Ti2CrSi: relaxed, PBE-GGA.

Cell lengths 4.142, 4.142, 3.281 Å; angles 90.00, 90.00, 90.00 degrees
Fractional positions:
Ti (0.000, 0.500, 0.000)
Ti (0.500, 0.000, 0.000)
Cr (0.000, 0.000, 0.500)
Si (0.500, 0.500, 0.500)

Calculated values
- DOS at the Fermi energy: 0.28 states/eV/atom

=====

(5)
Ti2CrSi2: relaxed, PBE-GGA.

Cell lengths 6.315, 6.315, 3.555 Å; angles 90.00, 90.00, 90.00 degrees
Fractional positions:
Ti (0.171, 0.329, 0.000)
Ti (0.329, 0.829, 0.000)
Ti (0.671, 0.171, 0.000)
Ti (0.829, 0.671, 0.000)
Cr (0.000, 0.000, 0.500)
Cr (0.500, 0.500, 0.500)
Si (0.133, 0.633, 0.500)
Si (0.367, 0.133, 0.500)
Si (0.633, 0.867, 0.500)
Si (0.867, 0.367, 0.500)

Calculated values
- DOS at the Fermi energy: 0.25 states/eV/atom

=====

(6)
Ti2CrSi6: relaxed, PBE-GGA.

Cell lengths 4.655, 4.655, 6.450 Å; angles 90.00, 90.00, 120.42 degrees
Fractional positions:
Ti (0.000, 0.500, 0.164)
Ti (0.500, 0.000, 0.836)
Cr (0.000, 0.000, 0.500)
Si (0.179, 0.336, 0.827)
Si (0.333, 0.667, 0.500)
Si (0.336, 0.179, 0.173)
Si (0.664, 0.821, 0.173)
Si (0.667, 0.333, 0.500)
Si (0.821, 0.664, 0.827)

Calculated values
- DOS at the Fermi energy: 0.43 states/eV/atom

=====

(7)
TiCr3Si: relaxed, PBE-GGA.

Cell lengths 4.272, 4.272, 4.272 Å; angles 90.00, 90.00, 90.00 degrees
Fractional positions:
Ti (0.000, 0.000, 0.000)
Cr (0.000, 0.000, 0.500)
Cr (0.000, 0.500, 0.000)
Cr (0.500, 0.000, 0.000)
Si (0.500, 0.500, 0.500)

Calculated values
- DOS at the Fermi energy: 1.66 states/eV/atom

=====

(8)
TiCrSi2: relaxed, PBE-GGA.

Cell lengths 9.320, 9.320, 9.320 Å; angles 157.76, 157.76, 31.65 degrees
Fractional positions:
Ti (0.000, 0.000, 0.000)
Ti (0.750, 0.250, 0.500)
Cr (0.250, 0.750, 0.500)
Cr (0.500, 0.500, 0.000)
Si (0.128, 0.625, 0.003)
Si (0.375, 0.378, 0.503)
Si (0.622, 0.125, 0.997)
Si (0.875, 0.872, 0.497)

Calculated values
- DOS at the Fermi energy: 0.79 states/eV/atom

=====

(9)
Ti12CrSi6: relaxed, PBE-GGA.

Cell lengths 7.043, 7.043, 7.043 Å; angles 99.27, 99.27, 99.27 degrees
Fractional positions:
Ti (0.000, 0.327, 0.059)
Ti (0.000, 0.673, 0.941)
Ti (0.059, 0.000, 0.327)
Ti (0.193, 0.422, 0.553)
Ti (0.327, 0.059, 0.000)
Ti (0.422, 0.553, 0.193)
Ti (0.447, 0.807, 0.578)
Ti (0.553, 0.193, 0.422)
Ti (0.578, 0.447, 0.807)
Ti (0.673, 0.941, 0.000)
Ti (0.807, 0.578, 0.447)
Ti (0.941, 0.000, 0.673)
Cr (0.000, 0.000, 0.000)
Si (0.126, 0.653, 0.315)
Si (0.315, 0.126, 0.653)
Si (0.347, 0.685, 0.874)
Si (0.653, 0.315, 0.126)
Si (0.685, 0.874, 0.347)
Si (0.874, 0.347, 0.685)

Calculated values
- DOS at the Fermi energy: 1.02 states/eV/atom

=====

(10)
TiCrSi4: relaxed, PBE-GGA.

Cell lengths 4.589, 12.776, 4.601 Å; angles 90.00, 119.65, 90.00 degrees
Fractional positions:
Ti (0.000, 0.000, 0.000)
Ti (0.000, 0.496, 0.000)
Ti (0.500, 0.663, 0.000)
Cr (0.000, 0.328, 0.500)
Cr (0.000, 0.834, 0.500)
Cr (0.500, 0.163, 0.000)
Si (0.172, 0.166, 0.343)
Si (0.178, 0.667, 0.342)
Si (0.335, 0.493, 0.656)
Si (0.335, 0.832, 0.170)
Si (0.340, 0.327, 0.168)
Si (0.342, 0.999, 0.661)
Si (0.658, 0.999, 0.339)
Si (0.660, 0.327, 0.832)
Si (0.665, 0.493, 0.344)
Si (0.665, 0.832, 0.830)
Si (0.822, 0.667, 0.658)
Si (0.828, 0.166, 0.657)

Calculated values
- DOS at the Fermi energy: 0.44 states/eV/atom

=====

(11)
Ti2Cr3Si4: relaxed, PBE-GGA.

Cell lengths 6.354, 6.358, 6.262 Å; angles 90.00, 109.82, 90.00 degrees
Fractional positions:
Ti (0.189, 0.169, 0.059)
Ti (0.189, 0.331, 0.559)
Ti (0.811, 0.669, 0.441)
Ti (0.811, 0.831, 0.941)
Cr (0.246, 0.663, 0.249)
Cr (0.246, 0.837, 0.749)
Cr (0.500, 0.000, 0.500)
Cr (0.500, 0.500, 0.000)
Cr (0.754, 0.163, 0.251)
Cr (0.754, 0.337, 0.751)
Si (0.085, 0.543, 0.858)
Si (0.085, 0.957, 0.358)
Si (0.499, 0.134, 0.865)
Si (0.499, 0.366, 0.365)
Si (0.501, 0.634, 0.635)
Si (0.501, 0.866, 0.135)
Si (0.915, 0.043, 0.642)
Si (0.915, 0.457, 0.142)

Calculated values
- DOS at the Fermi energy: 0.81 states/eV/atom

=====

(12)
Ti8CrSi2: relaxed, PBE-GGA.

Cell lengths 7.602, 7.602, 6.600 Å; angles 111.17, 111.17, 29.78 degrees
Fractional positions:
Ti (0.030, 0.030, 0.301)
Ti (0.184, 0.184, 0.779)
Ti (0.329, 0.329, 0.568)
Ti (0.412, 0.412, 0.045)
Ti (0.588, 0.588, 0.955)
Ti (0.671, 0.671, 0.432)
Ti (0.816, 0.816, 0.221)
Ti (0.970, 0.970, 0.699)
Cr (0.500, 0.500, 0.500)
Si (0.190, 0.190, 0.178)
Si (0.810, 0.810, 0.822)

Calculated values
- DOS at the Fermi energy: 0.96 states/eV/atom

=====

(13)
Y2TiCrSi: relaxed, PBE-GGA.

Cell lengths 5.398, 5.398, 4.445 Å; angles 90.00, 90.00, 90.00 degrees
Fractional positions:
Y (0.000, 0.500, 0.000)
Y (0.500, 0.000, 0.000)
Ti (0.000, 0.000, 0.500)
Cr (0.500, 0.500, 0.500)
Si (0.500, 0.500, 0.000)

Calculated values
- DOS at the Fermi energy: 2.10 states/eV/atom

=====

(14)
Tl2CrSi: relaxed, PBE-GGA.

Cell lengths 4.352, 3.857, 5.729 Å; angles 90.00, 112.13, 90.00 degrees
Fractional positions:
Tl (0.000, 0.000, 0.000)
Tl (0.304, 0.500, 0.607)
Cr (0.726, 0.000, 0.448)
Si (0.588, 0.500, 0.176)

Calculated values
- DOS at the Fermi energy: 0.54 states/eV/atom

=====

(15)
Tl2CrSi: relaxed, PBE-GGA.

Cell lengths 6.657, 6.657, 4.857 Å; angles 111.29, 111.29, 26.91 degrees
Fractional positions:
Tl (0.000, 0.000, 0.000)
Tl (0.208, 0.208, 0.708)
Cr (0.730, 0.730, 0.229)
Si (0.394, 0.394, 0.395)

Calculated values
- DOS at the Fermi energy: 0.70 states/eV/atom

=====

(16)
Tl2CrSi: relaxed, PBE-GGA.

Cell lengths 4.318, 4.683, 5.008 Å; angles 90.00, 90.81, 90.00 degrees
Fractional positions:
Tl (0.210, 0.000, 0.249)
Tl (0.790, 0.000, 0.751)
Cr (0.500, 0.500, 0.500)
Si (0.500, 0.500, 0.000)

Calculated values
- DOS at the Fermi energy: 0.54 states/eV/atom

=====

(17)
Tl2CrSi: relaxed, PBE-GGA.

Cell lengths 8.709, 8.709, 8.709 Å; angles 23.19, 23.19, 23.19 degrees
Fractional positions:
Tl (0.249, 0.249, 0.249)
Tl (0.751, 0.751, 0.751)
Cr (0.000, 0.000, 0.000)
Si (0.500, 0.500, 0.500)

Calculated values
- DOS at the Fermi energy: 0.59 states/eV/atom

=====

(18)
Tl3CrSi: relaxed, PBE-GGA.

Cell lengths 5.285, 5.285, 5.285 Å; angles 90.00, 90.00, 90.00 degrees
Fractional positions:
Tl (0.000, 0.000, 0.500)
Tl (0.000, 0.500, 0.000)
Tl (0.500, 0.000, 0.000)
Cr (0.000, 0.000, 0.000)
Si (0.500, 0.500, 0.500)

Calculated values
- DOS at the Fermi energy: 0.76 states/eV/atom

=====

(19)
Tl2CrSi: relaxed, PBE-GGA.

Cell lengths 3.251, 3.251, 8.404 Å; angles 90.00, 90.00, 90.00 degrees
Fractional positions:
Tl (0.000, 0.000, 0.000)
Tl (0.500, 0.500, 0.345)
Cr (0.000, 0.000, 0.616)
Si (0.500, 0.500, 0.709)

Calculated values
- DOS at the Fermi energy: 0.55 states/eV/atom

=====

(20)
Tl3CrSi: relaxed, PBE-GGA.

Cell lengths 5.378, 5.378, 5.378 Å; angles 90.00, 90.00, 90.00 degrees
Fractional positions:
Tl (0.000, 0.000, 0.500)
Tl (0.000, 0.500, 0.000)
Tl (0.500, 0.000, 0.000)
Cr (0.500, 0.500, 0.500)
Si (0.000, 0.000, 0.000)

Calculated values
- DOS at the Fermi energy: 0.50 states/eV/atom

=====

(21)
Tl2CrSi: relaxed, PBE-GGA.

Cell lengths 3.713, 3.713, 6.449 Å; angles 90.00, 90.00, 90.00 degrees
Fractional positions:
Tl (0.000, 0.000, 0.247)
Tl (0.000, 0.000, 0.753)
Cr (0.500, 0.500, 0.500)
Si (0.500, 0.500, 0.000)

Calculated values
- DOS at the Fermi energy: 0.51 states/eV/atom

=====

(22)
Tl2CrSi: relaxed, PBE-GGA.

Cell lengths 7.700, 7.700, 7.700 Å; angles 95.09, 95.09, 145.36 degrees
Fractional positions:
Tl (0.375, 0.126, 0.251)
Tl (0.874, 0.125, 0.249)
Tl (0.875, 0.124, 0.749)
Tl (0.876, 0.625, 0.751)
Cr (0.000, 0.000, 0.000)
Cr (0.750, 0.250, 0.500)
Si (0.250, 0.750, 0.500)
Si (0.500, 0.500, 0.000)

Calculated values
- DOS at the Fermi energy: 0.68 states/eV/atom

=====

(23)
Tl2CrSi: relaxed, PBE-GGA.

Cell lengths 5.460, 5.460, 5.460 Å; angles 136.67, 125.48, 72.07 degrees
Fractional positions:
Tl (0.245, 0.245, 0.000)
Tl (0.755, 0.755, 0.000)
Cr (0.500, 0.000, 0.500)
Si (0.000, 0.500, 0.500)

Calculated values
- DOS at the Fermi energy: 0.55 states/eV/atom

=====

(24)
Tl2CrSi: relaxed, PBE-GGA.

Cell lengths 5.043, 5.043, 5.043 Å; angles 60.00, 60.00, 60.00 degrees
Fractional positions:
Tl (0.250, 0.250, 0.250)
Tl (0.750, 0.750, 0.750)
Cr (0.000, 0.000, 0.000)
Si (0.500, 0.500, 0.500)

Calculated values
- DOS at the Fermi energy: 0.35 states/eV/atom

=====

(25)
Tl2CrSi: relaxed, PBE-GGA.

Cell lengths 3.316, 3.316, 8.140 Å; angles 90.00, 90.00, 90.00 degrees
Fractional positions:
Tl (0.000, 0.000, 0.247)
Tl (0.000, 0.000, 0.753)
Cr (0.500, 0.500, 0.000)
Si (0.500, 0.500, 0.500)

Calculated values
- DOS at the Fermi energy: 0.38 states/eV/atom

=====

Number 1: raw formation energy -0.316 eV/atom. Number 2: raw formation energy -0.389 eV/atom. Number 3: raw formation energy -0.236 eV/atom. Number 4: raw formation energy -0.416 eV/atom. Number 5: raw formation energy -0.627 eV/atom. Number 6: raw formation energy -0.465 eV/atom. Number 7: raw formation energy 1.516 eV/atom. Number 8: raw formation energy 0.111 eV/atom. Number 9: raw formation energy -0.115 eV/atom. Number 10: raw formation energy -0.425 eV/atom. Number 11: raw formation energy -0.545 eV/atom. Number 12: raw formation energy -0.275 eV/atom. Number 13: raw formation energy 0.489 eV/atom. Number 14: raw formation energy 0.468 eV/atom. Number 15: raw formation energy 0.509 eV/atom. Number 16: raw formation energy 0.633 eV/atom. Number 17: raw formation energy 0.682 eV/atom. Number 18: raw formation energy 0.888 eV/atom. Number 19: raw formation energy 0.312 eV/atom. Number 20: raw formation energy 0.842 eV/atom. Number 21: raw formation energy 0.681 eV/atom. Number 22: raw formation energy 0.553 eV/atom. Number 23: raw formation energy 0.653 eV/atom. Number 24: raw formation energy 0.680 eV/atom. Number 25: raw formation energy 0.696 eV/atom.